(1)
# Th6Co2N, relaxed, DFT PBE
data_Th6Co2N
_space_group_name_H-M_alt 'P 1 21/c 1'
_space_group_IT_number 14
_cell_length_a 6.328
_cell_length_b 6.972
_cell_length_c 11.714
_cell_angle_alpha 90.00
_cell_angle_beta 121.49
_cell_angle_gamma 90.00
loop_
_space_group_symop_operation_xyz
'x,y,z'
'-x,-y,-z'
'-x,y+1/2,-z+1/2'
'x,-y+1/2,z+1/2'
loop_
_atom_site_label
_atom_site_type_symbol
_atom_site_fract_x
_atom_site_fract_y
_atom_site_fract_z
Th1 Th 0.083 0.050 0.240
Th2 Th 0.231 0.681 0.069
Th3 Th 0.395 0.172 0.067
Co1 Co 0.333 0.120 0.757
N1 N 0.000 0.000 0.000
# N(E_F)	20.12	states/eV per cell
# M_tot	0.0	μB/f.u.
# volume	441	Å³/cell

(2)
# ThCoN2, relaxed, DFT PBE
data_ThCoN2
_space_group_name_H-M_alt 'R -3 m'
_space_group_IT_number 166
_space_group_name_Hall '-R 3 2"'
_cell_length_a 3.2530
_cell_length_b 3.2530
_cell_length_c 17.8759
_cell_angle_alpha 90.00
_cell_angle_beta 90.00
_cell_angle_gamma 120.00
loop_
_atom_site_label
_atom_site_type_symbol
_atom_site_fract_x
_atom_site_fract_y
_atom_site_fract_z
Th1 Th 0.0000 0.0000 0.0000
Co1 Co 0.0000 0.0000 0.5000
N1 N 0.0000 0.0000 0.1226
# N(E_F)	13.34	states/eV per cell
# M_tot	0.3	μB/f.u.
# volume	164	Å³/cell

(3)
# ThCoN2, relaxed, DFT PBE
data_ThCoN2
_space_group_name_H-M_alt 'P 31 2 1'
_space_group_IT_number 152
_cell_length_a 5.2251
_cell_length_b 5.2251
_cell_length_c 6.9540
_cell_angle_alpha 90.00
_cell_angle_beta 90.00
_cell_angle_gamma 120.00
loop_
_space_group_symop_operation_xyz
'x,y,z'
'-y,x-y,z+1/3'
'-x+y,-x,z+2/3'
'y,x,-z'
'x-y,-y,-z+2/3'
'-x,-x+y,-z+1/3'
loop_
_atom_site_label
_atom_site_type_symbol
_atom_site_fract_x
_atom_site_fract_y
_atom_site_fract_z
Th1 Th 0.0000 0.6498 0.1667
Co1 Co 0.0000 0.6133 0.6667
N1 N 0.1147 0.4804 0.8868
# N(E_F)	9.82	states/eV per cell
# M_tot	0.0	μB/f.u.
# volume	164	Å³/cell

(4)
# ThZr2CoN4, relaxed, DFT PBE
data_ThZr2CoN4
_space_group_name_H-M_alt 'C m c m'
_space_group_IT_number 63
_space_group_name_Hall '-C 2c 2'
_cell_length_a 3.275
_cell_length_b 11.100
_cell_length_c 11.106
_cell_angle_alpha 90.00
_cell_angle_beta 90.00
_cell_angle_gamma 90.00
loop_
_atom_site_label
_atom_site_type_symbol
_atom_site_fract_x
_atom_site_fract_y
_atom_site_fract_z
Th1 Th 0.000 0.106 0.250
Zr1 Zr 0.000 0.368 0.056
Co1 Co 0.000 0.156 0.750
N1 N 0.000 0.000 0.000
N2 N 0.000 0.273 0.618
N3 N 0.000 0.443 0.250
# N(E_F)	11.14	states/eV per cell
# M_tot	0.0	μB/f.u.
# volume	404	Å³/cell

(5)
# TiCoN3, relaxed, DFT PBE
data_TiCoN3
_space_group_name_H-M_alt 'P m -3 m'
_space_group_IT_number 221
_space_group_name_Hall '-P 4 2 3'
_cell_length_a 3.601
_cell_length_b 3.601
_cell_length_c 3.601
_cell_angle_alpha 90.00
_cell_angle_beta 90.00
_cell_angle_gamma 90.00
loop_
_atom_site_label
_atom_site_type_symbol
_atom_site_fract_x
_atom_site_fract_y
_atom_site_fract_z
Ti1 Ti 0.000 0.000 0.000
Co1 Co 0.500 0.500 0.500
N1 N 0.000 0.500 0.500
# N(E_F)	5.00	states/eV per cell
# M_tot	0.2	μB/f.u.
# volume	47	Å³/cell

(6)
# TiCo3N, relaxed, DFT PBE
data_TiCo3N
_space_group_name_H-M_alt 'P m -3 m'
_space_group_IT_number 221
_space_group_name_Hall '-P 4 2 3'
_cell_length_a 3.778
_cell_length_b 3.778
_cell_length_c 3.778
_cell_angle_alpha 90.00
_cell_angle_beta 90.00
_cell_angle_gamma 90.00
loop_
_atom_site_label
_atom_site_type_symbol
_atom_site_fract_x
_atom_site_fract_y
_atom_site_fract_z
Ti1 Ti 0.000 0.000 0.000
Co1 Co 0.000 0.500 0.500
N1 N 0.500 0.500 0.500
# N(E_F)	3.78	states/eV per cell
# M_tot	2.2	μB/f.u.
# volume	54	Å³/cell

(7)
# Ti5CoN6, relaxed, DFT PBE
data_Ti5CoN6
_space_group_name_H-M_alt 'C 1 2/m 1'
_space_group_IT_number 12
_cell_length_a 5.201
_cell_length_b 9.004
_cell_length_c 5.193
_cell_angle_alpha 90.00
_cell_angle_beta 109.49
_cell_angle_gamma 90.00
loop_
_space_group_symop_operation_xyz
'x,y,z'
'-x,-y,-z'
'-x,y,-z'
'x,-y,z'
'x+1/2,y+1/2,z'
'-x+1/2,-y+1/2,-z'
'-x+1/2,y+1/2,-z'
'x+1/2,-y+1/2,z'
loop_
_atom_site_label
_atom_site_type_symbol
_atom_site_fract_x
_atom_site_fract_y
_atom_site_fract_z
Ti1 Ti 0.000 0.000 0.000
Ti2 Ti 0.000 0.166 0.500
Ti3 Ti 0.000 0.340 0.000
Co1 Co 0.000 0.500 0.500
N1 N 0.245 0.170 0.245
N2 N 0.246 0.000 0.750
# N(E_F)	12.97	states/eV per cell
# M_tot	3.1	μB/f.u.
# volume	229	Å³/cell

(8)
# Ti3CoN, relaxed, DFT PBE
data_Ti3CoN
_space_group_name_H-M_alt 'C 1 2/m 1'
_space_group_IT_number 12
_cell_length_a 14.915
_cell_length_b 2.963
_cell_length_c 6.216
_cell_angle_alpha 90.00
_cell_angle_beta 92.50
_cell_angle_gamma 90.00
loop_
_space_group_symop_operation_xyz
'x,y,z'
'-x,-y,-z'
'-x,y,-z'
'x,-y,z'
'x+1/2,y+1/2,z'
'-x+1/2,-y+1/2,-z'
'-x+1/2,y+1/2,-z'
'x+1/2,-y+1/2,z'
loop_
_atom_site_label
_atom_site_type_symbol
_atom_site_fract_x
_atom_site_fract_y
_atom_site_fract_z
Ti1 Ti 0.060 0.000 0.341
Ti2 Ti 0.175 0.500 0.066
Ti3 Ti 0.189 0.000 0.634
Co1 Co 0.069 0.000 0.904
N1 N 0.162 0.500 0.403
# N(E_F)	19.13	states/eV per cell
# M_tot	0.0	μB/f.u.
# volume	274	Å³/cell

(9)
# TiCo3N, relaxed, DFT PBE
data_TiCo3N
_space_group_name_H-M_alt 'P m -3 m'
_space_group_IT_number 221
_space_group_name_Hall '-P 4 2 3'
_cell_length_a 4.258
_cell_length_b 4.258
_cell_length_c 4.258
_cell_angle_alpha 90.00
_cell_angle_beta 90.00
_cell_angle_gamma 90.00
loop_
_atom_site_label
_atom_site_type_symbol
_atom_site_fract_x
_atom_site_fract_y
_atom_site_fract_z
Ti1 Ti 0.000 0.000 0.000
Co1 Co 0.000 0.000 0.500
N1 N 0.500 0.500 0.500
# N(E_F)	7.15	states/eV per cell
# M_tot	3.5	μB/f.u.
# volume	77	Å³/cell

(10)
# Ti6Co2N, relaxed, DFT PBE
data_Ti6Co2N
_space_group_name_H-M_alt 'P 1 21/c 1'
_space_group_IT_number 14
_cell_length_a 5.437
_cell_length_b 5.777
_cell_length_c 9.764
_cell_angle_alpha 90.00
_cell_angle_beta 122.72
_cell_angle_gamma 90.00
loop_
_space_group_symop_operation_xyz
'x,y,z'
'-x,-y,-z'
'-x,y+1/2,-z+1/2'
'x,-y+1/2,z+1/2'
loop_
_atom_site_label
_atom_site_type_symbol
_atom_site_fract_x
_atom_site_fract_y
_atom_site_fract_z
Ti1 Ti 0.123 0.025 0.243
Ti2 Ti 0.246 0.694 0.056
Ti3 Ti 0.365 0.191 0.058
Co1 Co 0.299 0.081 0.755
N1 N 0.000 0.000 0.000
# N(E_F)	16.37	states/eV per cell
# M_tot	0.0	μB/f.u.
# volume	258	Å³/cell

(11)
# TiCoN3, relaxed, DFT PBE
data_TiCoN3
_space_group_name_H-M_alt 'P m -3 m'
_space_group_IT_number 221
_space_group_name_Hall '-P 4 2 3'
_cell_length_a 3.872
_cell_length_b 3.872
_cell_length_c 3.872
_cell_angle_alpha 90.00
_cell_angle_beta 90.00
_cell_angle_gamma 90.00
loop_
_atom_site_label
_atom_site_type_symbol
_atom_site_fract_x
_atom_site_fract_y
_atom_site_fract_z
Ti1 Ti 0.000 0.000 0.000
Co1 Co 0.500 0.500 0.500
N1 N 0.000 0.000 0.500
# N(E_F)	2.49	states/eV per cell
# M_tot	2.0	μB/f.u.
# volume	58	Å³/cell

(12)
# Ti6CoN, relaxed, DFT PBE
data_Ti6CoN
_space_group_name_H-M_alt 'P -1'
_space_group_IT_number 2
_cell_length_a 4.655
_cell_length_b 5.195
_cell_length_c 5.318
_cell_angle_alpha 97.16
_cell_angle_beta 113.38
_cell_angle_gamma 91.08
loop_
_space_group_symop_operation_xyz
'x,y,z'
'-x,-y,-z'
loop_
_atom_site_label
_atom_site_type_symbol
_atom_site_fract_x
_atom_site_fract_y
_atom_site_fract_z
Ti1 Ti 0.064 0.290 0.159
Ti2 Ti 0.241 0.828 0.480
Ti3 Ti 0.401 0.369 0.762
Co1 Co 0.500 0.000 0.000
N1 N 0.000 0.500 0.500
# N(E_F)	6.55	states/eV per cell
# M_tot	0.0	μB/f.u.
# volume	117	Å³/cell

Energy relative to the elements, uncorrected list, top to bottom, in eV per atom: -0.48 0.32 -0.79 -1.35 0.69 -0.18 -1.36 -0.42 2.19 -0.57 1.00 -0.53